A plane-wave DFT calculation with PBE was carried out for a relaxed structure of KSrSb2.

Energy above the lowest structure with this stoichiometry   8.85 kJ/mol of atoms
Formation energy without anion corrections   -560 meV/atom
Fermi-level density of states   1.87 states/eV per cell

The structure in CIF format:
```
data_KSrSb2
_chemical_formula_sum 'K1 Sr1 Sb2'
_cell_length_a 5.145
_cell_length_b 5.145
_cell_length_c 4.880
_cell_angle_alpha 90.00
_cell_angle_beta 90.00
_cell_angle_gamma 90.00
_space_group_name_H-M_alt 'P 4/m m m'
_space_group_IT_number 123
_space_group_name_Hall '-P 4 2'
loop_
_atom_site_label
_atom_site_fract_x
_atom_site_fract_y
_atom_site_fract_z
_atom_site_occupancy
K1 0.000 0.000 0.000 1
Sr1 0.500 0.500 0.000 1
Sb1 0.000 0.500 0.500 1
```

---

A plane-wave DFT calculation with PBE was carried out for a relaxed structure of KSr3Sb.

Energy above the lowest structure with this stoichiometry   0.00 kJ/mol of atoms
Formation energy without anion corrections   -352 meV/atom
Fermi-level density of states   6.18 states/eV per cell

The structure in CIF format:
```
data_KSr3Sb
_chemical_formula_sum 'K1 Sr3 Sb1'
_cell_length_a 6.514
_cell_length_b 6.514
_cell_length_c 6.514
_cell_angle_alpha 90.00
_cell_angle_beta 90.00
_cell_angle_gamma 90.00
_space_group_name_H-M_alt 'P m -3 m'
_space_group_IT_number 221
_space_group_name_Hall '-P 4 2 3'
loop_
_atom_site_label
_atom_site_fract_x
_atom_site_fract_y
_atom_site_fract_z
_atom_site_occupancy
K1 0.000 0.000 0.000 1
Sr1 0.000 0.500 0.500 1
Sb1 0.500 0.500 0.500 1
```

---

A plane-wave DFT calculation with PBE was carried out for a relaxed structure of KSrSb.

Formation energy without anion corrections   -546 meV/atom
Fermi-level density of states   0.49 states/eV per cell

The structure in CIF format:
```
data_KSrSb
_chemical_formula_sum 'K1 Sr1 Sb1'
_cell_length_a 5.3710
_cell_length_b 5.3710
_cell_length_c 5.7061
_cell_angle_alpha 90.00
_cell_angle_beta 90.00
_cell_angle_gamma 120.00
_space_group_name_H-M_alt 'P 3 m 1'
_space_group_IT_number 156
loop_
_space_group_symop_operation_xyz
'x,y,z'
'-y,x-y,z'
'-x+y,-x,z'
'-y,-x,z'
'-x+y,y,z'
'x,x-y,z'
loop_
_atom_site_label
_atom_site_fract_x
_atom_site_fract_y
_atom_site_fract_z
_atom_site_occupancy
K1 0.0000 0.0000 0.0000 1
Sr1 0.3333 0.6667 0.4834 1
Sb1 0.6667 0.3333 0.3217 1
```

---

A plane-wave DFT calculation with PBE was carried out for a relaxed structure of KSrSb.

Formation energy without anion corrections   -795 meV/atom

The structure in CIF format:
```
data_KSrSb
_chemical_formula_sum 'K4 Sr4 Sb4'
_cell_length_a 9.047
_cell_length_b 5.485
_cell_length_c 9.832
_cell_angle_alpha 90.00
_cell_angle_beta 90.00
_cell_angle_gamma 90.00
_space_group_name_H-M_alt 'P n m a'
_space_group_IT_number 62
loop_
_space_group_symop_operation_xyz
'x,y,z'
'-x,-y,-z'
'-x+1/2,-y,z+1/2'
'x+1/2,y,-z+1/2'
'x+1/2,-y+1/2,-z+1/2'
'-x+1/2,y+1/2,z+1/2'
'-x,y+1/2,-z'
'x,-y+1/2,z'
loop_
_atom_site_label
_atom_site_fract_x
_atom_site_fract_y
_atom_site_fract_z
_atom_site_occupancy
K1 0.016 0.250 0.174 1
Sr1 0.152 0.250 0.580 1
Sb1 0.218 0.750 0.397 1
```

---

A plane-wave DFT calculation with PBE was carried out for a relaxed structure of KSr2Sb2.

Energy above the lowest structure with this stoichiometry   17.70 kJ/mol of atoms
Formation energy without anion corrections   -623 meV/atom
Fermi-level density of states   8.73 states/eV per cell

The structure in CIF format:
```
data_KSr2Sb2
_chemical_formula_sum 'K2 Sr4 Sb4'
_cell_length_a 5.621
_cell_length_b 5.621
_cell_length_c 13.596
_cell_angle_alpha 90.00
_cell_angle_beta 90.00
_cell_angle_gamma 90.00
_space_group_name_H-M_alt 'I 4/m m m'
_space_group_IT_number 139
_space_group_name_Hall '-I 4 2'
loop_
_atom_site_label
_atom_site_fract_x
_atom_site_fract_y
_atom_site_fract_z
_atom_site_occupancy
K1 0.000 0.000 0.000 1
Sr1 0.000 0.500 0.250 1
Sb1 0.000 0.000 0.383 1
```

---

A plane-wave DFT calculation with PBE was carried out for a relaxed structure of KSr3Sb.

Energy above the lowest structure with this stoichiometry   102.17 kJ/mol of atoms
Formation energy without anion corrections   707 meV/atom
Fermi-level density of states   4.97 states/eV per cell

The structure in CIF format:
```
data_KSr3Sb
_chemical_formula_sum 'K1 Sr3 Sb1'
_cell_length_a 6.363
_cell_length_b 6.363
_cell_length_c 6.363
_cell_angle_alpha 90.00
_cell_angle_beta 90.00
_cell_angle_gamma 90.00
_space_group_name_H-M_alt 'P m -3 m'
_space_group_IT_number 221
_space_group_name_Hall '-P 4 2 3'
loop_
_atom_site_label
_atom_site_fract_x
_atom_site_fract_y
_atom_site_fract_z
_atom_site_occupancy
K1 0.000 0.000 0.000 1
Sr1 0.000 0.000 0.500 1
Sb1 0.500 0.500 0.500 1
```

---

A plane-wave DFT calculation with PBE was carried out for a relaxed structure of KSr2Sb2.

Energy above the lowest structure with this stoichiometry   0.00 kJ/mol of atoms
Formation energy without anion corrections   -806 meV/atom
Fermi-level density of states   1.60 states/eV per cell

The structure in CIF format:
```
data_KSr2Sb2
_chemical_formula_sum 'K2 Sr4 Sb4'
_cell_length_a 9.706
_cell_length_b 9.706
_cell_length_c 3.927
_cell_angle_alpha 90.00
_cell_angle_beta 90.00
_cell_angle_gamma 90.00
_space_group_name_H-M_alt 'P 4/m b m'
_space_group_IT_number 127
_space_group_name_Hall '-P 4 2ab'
loop_
_atom_site_label
_atom_site_fract_x
_atom_site_fract_y
_atom_site_fract_z
_atom_site_occupancy
K1 0.000 0.000 0.000 1
Sr1 0.135 0.365 0.500 1
Sb1 0.163 0.663 0.000 1
```

---

A plane-wave DFT calculation with PBE was carried out for a relaxed structure of KSrSb2.

Energy above the lowest structure with this stoichiometry   40.02 kJ/mol of atoms
Formation energy without anion corrections   -237 meV/atom
Fermi-level density of states   9.51 states/eV per cell

The structure in CIF format:
```
data_KSrSb2
_chemical_formula_sum 'K4 Sr4 Sb8'
_cell_length_a 8.129
_cell_length_b 8.129
_cell_length_c 8.129
_cell_angle_alpha 90.00
_cell_angle_beta 90.00
_cell_angle_gamma 90.00
_space_group_name_H-M_alt 'F -4 3 m'
_space_group_IT_number 216
_space_group_name_Hall 'F -4 2 3'
loop_
_atom_site_label
_atom_site_fract_x
_atom_site_fract_y
_atom_site_fract_z
_atom_site_occupancy
K1 0.000 0.000 0.000 1
Sr1 0.250 0.250 0.250 1
Sb1 0.000 0.000 0.500 1
Sb2 0.250 0.250 0.750 1
```

---

A plane-wave DFT calculation with PBE was carried out for a relaxed structure of K2SrTlSb2.

Formation energy without anion corrections   -531 meV/atom
Fermi-level density of states   0.23 states/eV per cell

The structure in CIF format:
```
data_K2SrTlSb2
_chemical_formula_sum 'K4 Sr2 Tl2 Sb4'
_cell_length_a 5.592
_cell_length_b 9.642
_cell_length_c 8.192
_cell_angle_alpha 90.00
_cell_angle_beta 90.00
_cell_angle_gamma 90.00
_space_group_name_H-M_alt 'P m c 21'
_space_group_IT_number 26
loop_
_space_group_symop_operation_xyz
'x,y,z'
'-x,-y,z+1/2'
'-x,y,z'
'x,-y,z+1/2'
loop_
_atom_site_label
_atom_site_fract_x
_atom_site_fract_y
_atom_site_fract_z
_atom_site_occupancy
K1 0.000 0.081 0.000 1
K2 0.500 0.153 0.319 1
Sr1 0.500 0.476 0.005 1
Tl1 0.000 0.310 0.653 1
Sb1 0.000 0.377 0.272 1
Sb2 0.500 0.207 0.739 1
```

---

A plane-wave DFT calculation with PBE was carried out for a relaxed structure of KSrTlSb.

Formation energy without anion corrections   -412 meV/atom
Fermi-level density of states   14.04 states/eV per cell

The structure in CIF format:
```
data_KSrTlSb
_chemical_formula_sum 'K4 Sr4 Tl4 Sb4'
_cell_length_a 8.239
_cell_length_b 8.239
_cell_length_c 8.239
_cell_angle_alpha 90.00
_cell_angle_beta 90.00
_cell_angle_gamma 90.00
_space_group_name_H-M_alt 'F -4 3 m'
_space_group_IT_number 216
_space_group_name_Hall 'F -4 2 3'
loop_
_atom_site_label
_atom_site_fract_x
_atom_site_fract_y
_atom_site_fract_z
_atom_site_occupancy
K1 0.000 0.000 0.000 1
Sr1 0.000 0.000 0.500 1
Tl1 0.250 0.250 0.250 1
Sb1 0.250 0.250 0.750 1
```

---

A plane-wave DFT calculation with PBE was carried out for a relaxed structure of KSrTl4Sb2.

Formation energy without anion corrections   -282 meV/atom
Fermi-level density of states   3.32 states/eV per cell

The structure in CIF format:
```
data_KSrTl4Sb2
_chemical_formula_sum 'K1 Sr1 Tl4 Sb2'
_cell_length_a 4.679
_cell_length_b 4.679
_cell_length_c 13.376
_cell_angle_alpha 90.00
_cell_angle_beta 90.00
_cell_angle_gamma 90.00
_space_group_name_H-M_alt 'P 4/m m m'
_space_group_IT_number 123
_space_group_name_Hall '-P 4 2'
loop_
_atom_site_label
_atom_site_fract_x
_atom_site_fract_y
_atom_site_fract_z
_atom_site_occupancy
K1 0.000 0.000 0.000 1
Sr1 0.000 0.000 0.500 1
Tl1 0.000 0.500 0.220 1
Sb1 0.500 0.500 0.387 1
```

---

A plane-wave DFT calculation with PBE was carried out for a relaxed structure of KSrV2Sb.

Formation energy without anion corrections   755 meV/atom
Fermi-level density of states   3.32 states/eV per cell

The structure in CIF format:
```
data_KSrV2Sb
_chemical_formula_sum 'K1 Sr1 V2 Sb1'
_cell_length_a 5.338
_cell_length_b 5.338
_cell_length_c 6.221
_cell_angle_alpha 90.00
_cell_angle_beta 90.00
_cell_angle_gamma 90.00
_space_group_name_H-M_alt 'P 4/m m m'
_space_group_IT_number 123
_space_group_name_Hall '-P 4 2'
loop_
_atom_site_label
_atom_site_fract_x
_atom_site_fract_y
_atom_site_fract_z
_atom_site_occupancy
K1 0.000 0.000 0.000 1
Sr1 0.500 0.500 0.000 1
V1 0.000 0.500 0.500 1
Sb1 0.000 0.000 0.500 1
```

---

A plane-wave DFT calculation with PBE was carried out for a relaxed structure of KSrZnSb.

Formation energy without anion corrections   -441 meV/atom

The structure in CIF format:
```
data_KSrZnSb
_chemical_formula_sum 'K4 Sr4 Zn4 Sb4'
_cell_length_a 8.075
_cell_length_b 8.075
_cell_length_c 8.075
_cell_angle_alpha 90.00
_cell_angle_beta 90.00
_cell_angle_gamma 90.00
_space_group_name_H-M_alt 'F -4 3 m'
_space_group_IT_number 216
_space_group_name_Hall 'F -4 2 3'
loop_
_atom_site_label
_atom_site_fract_x
_atom_site_fract_y
_atom_site_fract_z
_atom_site_occupancy
K1 0.000 0.000 0.000 1
Sr1 0.000 0.000 0.500 1
Zn1 0.250 0.250 0.250 1
Sb1 0.250 0.250 0.750 1
```

---

A plane-wave DFT calculation with PBE was carried out for a relaxed structure of KSrZn2Sb2.

Formation energy without anion corrections   -490 meV/atom
Fermi-level density of states   3.08 states/eV per cell

The structure in CIF format:
```
data_KSrZn2Sb2
_chemical_formula_sum 'K1 Sr1 Zn2 Sb2'
_cell_length_a 4.6029
_cell_length_b 4.6029
_cell_length_c 9.9475
_cell_angle_alpha 90.00
_cell_angle_beta 90.00
_cell_angle_gamma 120.00
_space_group_name_H-M_alt 'P -3 m 1'
_space_group_IT_number 164
_space_group_name_Hall '-P 3 2"'
loop_
_atom_site_label
_atom_site_fract_x
_atom_site_fract_y
_atom_site_fract_z
_atom_site_occupancy
K1 0.0000 0.0000 0.0000 1
Sr1 0.0000 0.0000 0.5000 1
Zn1 0.3333 0.6667 0.7033 1
Sb1 0.3333 0.6667 0.2613 1
```